## RbTe2PCl (meta-GGA SCAN)

Data for a crystal of RbTe2PCl relaxed with PBEsol.

Total energy in eV per atom: -21.64
Energy relative to the elements, uncorrected in eV per atom: 1.081

abc: 6.467 6.898 6.898
angles: 90.00 90.00 90.00
Site moments in Bohr magnetons follow the coordinates.
Atoms (fractional coordinates):
Cl  0.500  0.500  0.500  0.31
Te  0.000  0.500  0.000  0.92
P  0.500  0.000  0.000  1.21
Te  0.000  0.000  0.500  0.92
Rb  0.000  0.000  0.000  0.03